(1)
Ba4CaTi5O15: optimized geometry, PBEsol.

Calculated values
The spin magnetization comes out at 0.00 μB/f.u. The total energy is -209.327 eV per cell.

abc: 3.960 3.960 19.786
angles: 90.00 90.00 90.00
Element x y z (fractional)
O 0.500 0.000 0.297
O 0.500 0.500 0.399
O 0.500 0.000 0.500
O 0.500 0.500 0.000
O 0.500 0.500 0.601
O 0.500 0.000 0.907
O 0.000 0.500 0.907
O 0.500 0.000 0.703
O 0.000 0.500 0.500
O 0.000 0.500 0.297
O 0.000 0.500 0.703
O 0.500 0.000 0.093
O 0.500 0.500 0.803
O 0.500 0.500 0.197
O 0.000 0.500 0.093
Ba 0.000 0.000 0.601
Ba 0.000 0.000 0.399
Ba 0.000 0.000 0.196
Ba 0.000 0.000 0.804
Ti 0.500 0.500 0.905
Ti 0.500 0.500 0.702
Ti 0.500 0.500 0.298
Ti 0.500 0.500 0.500
Ti 0.500 0.500 0.095
Ca 0.000 0.000 0.000



(2)
Ba4CaZr5O15: optimized geometry, PBEsol.

Calculated values
The spin magnetization comes out at 0.00 μB/f.u. The total energy is -217.229 eV per cell.

abc: 4.172 5.909 15.023
angles: 101.34 90.00 90.00
Element x y z (fractional)
Ba 0.500 0.300 0.600
Ba 0.500 0.099 0.198
Ba 0.500 0.901 0.802
Ba 0.500 0.700 0.400
Zr 0.000 0.000 0.000
Zr 0.000 0.800 0.601
Zr 0.000 0.402 0.803
Zr 0.000 0.598 0.197
Zr 0.000 0.200 0.399
O 0.500 0.800 0.600
O 0.500 0.595 0.191
O 0.000 0.698 0.903
O 0.500 0.000 0.000
O 0.500 0.405 0.809
O 0.000 0.102 0.701
O 0.000 0.796 0.097
O 0.000 0.400 0.299
O 0.500 0.200 0.400
O 0.000 0.898 0.299
O 0.000 0.000 0.500
O 0.000 0.600 0.701
O 0.000 0.302 0.097
O 0.000 0.500 0.500
O 0.000 0.204 0.903
Ca 0.500 0.500 0.000



(3)
Ba4CaZr5O15: optimized geometry, PBEsol.

Calculated values
The spin magnetization comes out at 0.00 μB/f.u. The total energy is -217.245 eV per cell.

abc: 4.173 9.327 9.327
angles: 90.00 90.00 90.00
Element x y z (fractional)
Zr 0.000 0.203 0.401
Zr 0.000 0.797 0.599
Zr 0.000 0.000 0.000
Zr 0.000 0.401 0.797
Zr 0.000 0.599 0.203
O 0.000 0.103 0.199
O 0.500 0.000 0.000
O 0.000 0.500 0.000
O 0.000 0.402 0.304
O 0.000 0.000 0.500
O 0.500 0.209 0.403
O 0.000 0.304 0.598
O 0.000 0.897 0.801
O 0.500 0.791 0.597
O 0.500 0.597 0.209
O 0.000 0.801 0.103
O 0.000 0.199 0.897
O 0.500 0.403 0.791
O 0.000 0.696 0.402
O 0.000 0.598 0.696
Ba 0.500 0.101 0.699
Ba 0.500 0.301 0.101
Ba 0.500 0.699 0.899
Ba 0.500 0.899 0.301
Ca 0.500 0.500 0.500



(4)
Ba4CaZr5O15: optimized geometry, PBEsol.

Calculated values
The spin magnetization comes out at 0.00 μB/f.u. The total energy is -435.108 eV per cell.

abc: 5.857 5.857 21.354
angles: 97.88 97.88 90.00
Element x y z (fractional)
Zr 0.050 0.550 0.101
Zr 0.550 0.050 0.101
Zr 0.849 0.349 0.697
Zr 0.250 0.750 0.500
Zr 0.349 0.849 0.697
Zr 0.450 0.950 0.899
Zr 0.950 0.450 0.899
Zr 0.651 0.151 0.303
Zr 0.151 0.651 0.303
Zr 0.750 0.250 0.500
O 0.677 0.222 0.899
O 0.559 0.559 0.509
O 0.778 0.778 0.101
O 0.177 0.177 0.899
O 0.701 0.201 0.401
O 0.000 0.500 0.000
O 0.439 0.861 0.300
O 0.050 0.441 0.491
O 0.561 0.561 0.700
O 0.358 0.358 0.308
O 0.601 0.101 0.202
O 0.823 0.278 0.101
O 0.861 0.439 0.300
O 0.899 0.399 0.798
O 0.950 0.950 0.308
O 0.399 0.899 0.798
O 0.642 0.050 0.692
O 0.323 0.323 0.101
O 0.278 0.823 0.101
O 0.722 0.722 0.899
O 0.101 0.601 0.202
O 0.299 0.799 0.599
O 0.799 0.299 0.599
O 0.139 0.139 0.700
O 0.441 0.050 0.491
O 0.050 0.642 0.692
O 0.222 0.677 0.899
O 0.950 0.950 0.509
O 0.500 0.000 0.000
O 0.201 0.701 0.401
Ba 0.299 0.299 0.598
Ba 0.500 0.500 0.000
Ba 0.101 0.101 0.202
Ba 0.701 0.701 0.402
Ba 0.600 0.600 0.199
Ba 0.000 0.000 0.000
Ba 0.400 0.400 0.801
Ba 0.899 0.899 0.798
Ca 0.800 0.800 0.601
Ca 0.200 0.200 0.399



(5)
Ba4CaZr5O15: optimized geometry, PBEsol.

Calculated values
The spin magnetization comes out at 0.00 μB/f.u. The total energy is -217.252 eV per cell.

abc: 4.173 4.173 20.859
angles: 90.00 90.00 90.00
Element x y z (fractional)
Zr 0.000 0.000 0.701
Zr 0.000 0.000 0.500
Zr 0.000 0.000 0.903
Zr 0.000 0.000 0.299
Zr 0.000 0.000 0.097
O 0.000 0.000 0.000
O 0.500 0.000 0.702
O 0.000 0.500 0.500
O 0.500 0.000 0.095
O 0.000 0.500 0.905
O 0.000 0.000 0.198
O 0.000 0.000 0.802
O 0.000 0.500 0.095
O 0.000 0.500 0.702
O 0.000 0.000 0.399
O 0.500 0.000 0.298
O 0.000 0.000 0.601
O 0.000 0.500 0.298
O 0.500 0.000 0.500
O 0.500 0.000 0.905
Ba 0.500 0.500 0.399
Ba 0.500 0.500 0.198
Ba 0.500 0.500 0.802
Ba 0.500 0.500 0.601
Ca 0.500 0.500 0.000



(6)
Ba2CaOs: optimized geometry, PBEsol.

Calculated values
The spin magnetization comes out at 0.71 μB/f.u. As for the energy of formation: 753 meV/atom.

abc: 4.097 4.097 11.100
angles: 79.37 79.37 60.00
Element x y z (fractional)
Os 0.000 0.000 0.000
Ba 0.275 0.275 0.176
Ba 0.725 0.725 0.824
Ca 0.500 0.500 0.500



(7)
BaCaOs2: optimized geometry, PBEsol.

Calculated values
The spin magnetization comes out at 0.00 μB/f.u. As for the energy of formation: 557 meV/atom.

abc: 3.352 3.352 9.197
angles: 90.00 90.00 93.17
Element x y z (fractional)
Ba 0.000 0.000 0.566
Os 0.500 0.500 0.836
Os 0.000 0.000 0.935
Ca 0.500 0.500 0.164



(8)
BaCaOs2: optimized geometry, PBEsol.

Calculated values
The spin magnetization comes out at 0.00 μB/f.u. As for the energy of formation: 1179 meV/atom.

abc: 2.927 2.927 9.675
angles: 90.00 90.00 90.00
Element x y z (fractional)
Ca 0.500 0.500 0.500
Ba 0.500 0.500 0.000
Os 0.000 0.000 0.269
Os 0.000 0.000 0.731



(9)
BaCa3Os: optimized geometry, PBEsol.

Calculated values
The spin magnetization comes out at 2.38 μB/f.u. As for the energy of formation: 2053 meV/atom.

abc: 5.439 5.439 5.439
angles: 90.00 90.00 90.00
Element x y z (fractional)
Ba 0.000 0.000 0.000
Os 0.500 0.500 0.500
Ca 0.000 0.000 0.500
Ca 0.500 0.000 0.000
Ca 0.000 0.500 0.000



(10)
Ba2CaOs: optimized geometry, PBEsol.

Calculated values
The spin magnetization comes out at 0.00 μB/f.u. As for the energy of formation: 708 meV/atom.

abc: 5.452 5.488 5.452
angles: 60.21 90.00 119.79
Element x y z (fractional)
Os 0.000 0.000 0.000
Ba 0.750 0.500 0.750
Ba 0.250 0.500 0.250
Ca 0.500 0.000 0.500



(11)
BaCa3P: optimized geometry, PBEsol.

Calculated values
The spin magnetization comes out at 0.00 μB/f.u. As for the energy of formation: -434 meV/atom.

abc: 5.708 5.708 5.708
angles: 90.00 90.00 90.00
Element x y z (fractional)
Ca 0.000 0.000 0.500
Ca 0.000 0.500 0.000
Ca 0.500 0.000 0.000
P 0.000 0.000 0.000
Ba 0.500 0.500 0.500



(12)
BaCa2P: optimized geometry, PBEsol.

Calculated values
The spin magnetization comes out at 0.01 μB/f.u. As for the energy of formation: -494 meV/atom.

abc: 3.691 3.691 9.726
angles: 90.00 90.00 90.00
Element x y z (fractional)
Ca 0.000 0.000 0.850
Ca 0.000 0.000 0.150
P 0.500 0.500 0.000
Ba 0.500 0.500 0.500